[1]
VASP calculation (PBE) on a relaxed PrYPb2 crystal.

* volume: 30.97 Å³/atom

Cell: 4.6132 4.5172 6.3740 Å, 90.00 111.15 90.00°
Space group Pm (No. 6)
Symmetry-distinct sites (fractional):
Pr: 0.0000 0.0000 0.0000
Y: 0.2610 0.5000 0.5255
Pb: 0.5344 0.5000 0.0685
Pb: 0.7283 0.0000 0.4603

---

[2]
VASP calculation (PBE) on a relaxed ThFeTcGe3 crystal.

* volume: 19.69 Å³/atom

Cell: 7.5206 10.6884 5.8778 Å, 90.00 90.00 90.00°
Space group Cmcm (No. 63)
Symmetry-distinct sites (fractional):
Th: 0.0000 0.2406 0.2500
Fe: 0.0000 0.0298 0.7500
Tc: 0.0000 0.4572 0.7500
Ge: 0.0000 0.2380 0.7500
Ge: 0.2407 0.0000 0.0000

---

[3]
VASP calculation (PBE) on a relaxed Tb8Nd3Dy crystal.

* volume: 36.36 Å³/atom

Cell: 8.7562 8.7562 11.3814 Å, 90.00 90.00 90.00°
Space group I-42m (No. 121)
Symmetry-distinct sites (fractional):
Tb: 0.1252 0.1252 0.2531
Tb: 0.2465 0.2465 0.5070
Nd: 0.0000 0.0000 0.0000
Nd: 0.0000 0.5000 0.2500
Dy: 0.0000 0.0000 0.5000

---

[4]
VASP calculation (PBE) on a relaxed MgGa2Os crystal.

* volume: 15.66 Å³/atom

Cell: 3.2808 3.2808 5.8198 Å, 90.00 90.00 90.00°
Space group P4/mmm (No. 123)
Symmetry-distinct sites (fractional):
Mg: 0.0000 0.0000 0.0000
Ga: 0.5000 0.5000 0.2676
Os: 0.0000 0.0000 0.5000

---

Short version: ΔE_f = -51.89, -13.58, 58.85, -2.31 kJ/mol of atoms, in the order given.
Short version: DOS at the Fermi energy = 2.887, 14.251, 36.010, 1.982 states/eV/cell, in the order given.